This record from the Alexandria database describes an optimized crystal structure of Cd2GaCuHg. The functional is GGA-PBE.

Summary:
Calculated formation energy in eV per atom: 0.122
Symmetry: P4/mmm, No. 123

Cell: 5.1319 5.1319 4.6144 Å, 90.00 90.00 90.00°
Element x y z (fractional)
Hg 0.5000 0.5000 0.5000
Ga 0.0000 0.0000 0.5000
Cu 0.0000 0.0000 0.0000
Cd 0.5000 0.0000 0.0000
Cd 0.0000 0.5000 0.0000


This record from the Alexandria database describes an optimized crystal structure of Ho2CdGa3Cu4. The functional is GGA-PBE.

Summary:
Calculated formation energy in eV per atom: -0.343
Symmetry: P-4m2, No. 115

Cell: 4.0836 4.0836 10.7009 Å, 90.00 90.00 90.00°
Element x y z (fractional)
Cu 0.5000 0.5000 0.0000
Ga 0.5000 0.0000 0.8740
Ga 0.0000 0.0000 0.5000
Ga 0.0000 0.5000 0.1260
Cd 0.5000 0.5000 0.5000
Cu 0.0000 0.5000 0.3476
Ho 0.5000 0.0000 0.2356
Cu 0.0000 0.0000 0.0000
Cu 0.5000 0.0000 0.6524
Ho 0.0000 0.5000 0.7644


This record from the Alexandria database describes an optimized crystal structure of Ho2CdGa4Cu3. The functional is GGA-PBE.

Summary:
Calculated formation energy in eV per atom: -0.385
Symmetry: P-4m2, No. 115

Cell: 4.1131 4.1131 10.7192 Å, 90.00 90.00 90.00°
Element x y z (fractional)
Cd 0.5000 0.5000 0.5000
Cu 0.0000 0.0000 0.5000
Ho 0.5000 0.0000 0.2370
Cu 0.0000 0.5000 0.1279
Ga 0.0000 0.0000 0.0000
Ga 0.0000 0.5000 0.3467
Ga 0.5000 0.0000 0.6533
Ga 0.5000 0.5000 0.0000
Ho 0.0000 0.5000 0.7630
Cu 0.5000 0.0000 0.8721


This record from the Alexandria database describes an optimized crystal structure of Cd2InGaCu. The functional is GGA-PBE.

Summary:
Calculated formation energy in eV per atom: 0.152
Symmetry: P4/mmm, No. 123

Cell: 5.0810 5.0810 4.6821 Å, 90.00 90.00 90.00°
Element x y z (fractional)
Cd 0.0000 0.5000 0.0000
Cd 0.5000 0.0000 0.0000
In 0.5000 0.5000 0.5000
Ga 0.0000 0.0000 0.5000
Cu 0.0000 0.0000 0.0000